A relaxed structure of BeAs2P, computed with GGA-PBE.

Spin magnetization = 0.00 μB per formula unit
Formation energy from the elements = 0.250 eV per atom
DOS at the Fermi energy = 0.761 states/eV/f.u.
Energy above the most stable polymorph in this dataset = 164.6 meV per atom

Lattice parameters (Å, degrees): 6.275 6.275 6.275 32.64 32.64 32.64
Fractional positions:
Be 0.000 0.000 0.000
As 0.257 0.257 0.257
As 0.743 0.743 0.743
P 0.500 0.500 0.500

---

A relaxed structure of BeAs2P, computed with GGA-PBE.

Spin magnetization = 0.00 μB per formula unit
Formation energy from the elements = 0.633 eV per atom
DOS at the Fermi energy = 1.839 states/eV/f.u.
Energy above the most stable polymorph in this dataset = 547.7 meV per atom

Lattice parameters (Å, degrees): 3.199 4.195 4.729 90.00 90.00 90.00
Fractional positions:
Be 0.000 0.000 0.000
As 0.000 0.500 0.500
As 0.500 0.500 0.000
P 0.500 0.000 0.500

---

A relaxed structure of Be2AsP, computed with GGA-PBE.

Spin magnetization = 0.00 μB per formula unit
Formation energy from the elements = 0.471 eV per atom
DOS at the Fermi energy = 1.672 states/eV/f.u.
Energy above the most stable polymorph in this dataset = 491.4 meV per atom

Lattice parameters (Å, degrees): 3.318 3.345 4.770 90.00 90.00 90.00
Fractional positions:
Be 0.000 0.000 0.000
Be 0.000 0.500 0.500
As 0.500 0.000 0.500
P 0.500 0.500 0.000

---

A relaxed structure of BeAsP4, computed with GGA-PBE.

Spin magnetization = 0.00 μB per formula unit
Formation energy from the elements = 0.890 eV per atom
DOS at the Fermi energy = 5.029 states/eV/f.u.

Lattice parameters (Å, degrees): 5.060 5.060 5.060 60.00 60.00 60.00
Fractional positions:
Be 0.000 0.000 0.000
As 0.750 0.750 0.750
P 0.372 0.372 0.372
P 0.372 0.372 0.884
P 0.372 0.884 0.372
P 0.884 0.372 0.372

---

A relaxed structure of Be2AsP, computed with GGA-PBE.

Spin magnetization = 0.00 μB per formula unit
Formation energy from the elements = 0.444 eV per atom
DOS at the Fermi energy = 1.436 states/eV/f.u.
Energy above the most stable polymorph in this dataset = 464.8 meV per atom

Lattice parameters (Å, degrees): 4.473 4.473 4.473 137.11 113.75 82.22
Fractional positions:
Be 0.225 0.225 0.000
Be 0.775 0.775 0.000
As 0.500 0.000 0.500
P 0.000 0.500 0.500

---

A relaxed structure of BeAs2P, computed with GGA-PBE.

Spin magnetization = 0.00 μB per formula unit
Formation energy from the elements = 0.280 eV per atom
DOS at the Fermi energy = 1.517 states/eV/f.u.
Energy above the most stable polymorph in this dataset = 194.1 meV per atom

Lattice parameters (Å, degrees): 7.163 7.163 3.231 102.95 102.95 26.21
Fractional positions:
Be 0.000 0.000 0.000
As 0.356 0.356 0.857
As 0.644 0.644 0.143
P 0.500 0.500 0.500

---

A relaxed structure of Be2AsP, computed with GGA-PBE.

Spin magnetization = 0.00 μB per formula unit
Formation energy from the elements = 0.437 eV per atom
DOS at the Fermi energy = 0.944 states/eV/f.u.
Energy above the most stable polymorph in this dataset = 457.4 meV per atom

Lattice parameters (Å, degrees): 2.622 2.622 8.533 90.00 90.00 100.51
Fractional positions:
Be 0.000 0.000 0.000
Be 0.500 0.500 0.192
As 0.000 0.000 0.404
P 0.500 0.500 0.818

---

A relaxed structure of Be2AsP, computed with GGA-PBE.

Spin magnetization = 0.00 μB per formula unit
Formation energy from the elements = 0.549 eV per atom
DOS at the Fermi energy = 1.325 states/eV/f.u.
Energy above the most stable polymorph in this dataset = 569.7 meV per atom

Lattice parameters (Å, degrees): 4.343 4.343 2.755 90.00 90.00 98.91
Fractional positions:
Be 0.000 0.500 0.000
Be 0.500 0.000 0.000
As 0.000 0.000 0.500
P 0.500 0.500 0.500

---

A relaxed structure of BeAs2P, computed with GGA-PBE.

Spin magnetization = 0.00 μB per formula unit
Formation energy from the elements = 0.230 eV per atom
DOS at the Fermi energy = 1.088 states/eV/f.u.
Energy above the most stable polymorph in this dataset = 144.9 meV per atom

Lattice parameters (Å, degrees): 5.657 5.657 5.736 118.95 118.95 36.89
Fractional positions:
Be 0.000 0.000 0.000
As 0.341 0.341 0.929
As 0.490 0.490 0.714
P 0.607 0.607 0.206

---

A relaxed structure of Be2AsP, computed with GGA-PBE.

Spin magnetization = 0.00 μB per formula unit
Formation energy from the elements = 0.366 eV per atom
DOS at the Fermi energy = 1.293 states/eV/f.u.
Energy above the most stable polymorph in this dataset = 386.5 meV per atom

Lattice parameters (Å, degrees): 4.108 4.108 3.649 105.88 105.88 101.17
Fractional positions:
Be 0.000 0.500 0.000
Be 0.500 0.000 0.000
As 0.000 0.000 0.500
P 0.500 0.500 0.500

---

A relaxed structure of BeAs2P, computed with GGA-PBE.

Spin magnetization = 0.00 μB per formula unit
Formation energy from the elements = 0.557 eV per atom
DOS at the Fermi energy = 1.607 states/eV/f.u.
Energy above the most stable polymorph in this dataset = 471.3 meV per atom

Lattice parameters (Å, degrees): 4.729 4.729 4.729 136.26 110.84 85.51
Fractional positions:
Be 0.000 0.000 0.000
As 0.226 0.726 0.500
As 0.774 0.274 0.500
P 0.500 0.500 0.000

---

A relaxed structure of BeAs2P, computed with GGA-PBE.

Spin magnetization = 0.00 μB per formula unit
Formation energy from the elements = 0.659 eV per atom
DOS at the Fermi energy = 1.447 states/eV/f.u.
Energy above the most stable polymorph in this dataset = 573.6 meV per atom

Lattice parameters (Å, degrees): 4.479 4.479 4.479 60.00 60.00 60.00
Fractional positions:
Be 0.000 0.000 0.000
As 0.500 0.500 0.500
As 0.750 0.750 0.750
P 0.250 0.250 0.250